Entry 1:
Computed, not measured: a relaxed structure of K2MnAg at the PBE-GGA level of DFT.

a = 3.755 Å, b = 3.755 Å, c = 10.169 Å
α = 90.00°, β = 90.00°, γ = 90.00°
Fractional coordinates of all 4 atoms:
Mn1 0.000 0.000 0.592
Ag1 0.500 0.500 0.662
K1 0.000 0.000 0.920
K2 0.500 0.500 0.325

Values from the calculation:
raw total energy: -3.132 eV per atom
SG: P4mm (99)
formation enthalpy at 0 K: 0.422 eV per atom
polymorph energy (0 for the lowest one): 0.0 meV per atom

---

Entry 2:
Computed, not measured: a relaxed structure of K2MnAg at the PBE-GGA level of DFT.

a = 8.864 Å, b = 5.375 Å, c = 4.731 Å
α = 90.01°, β = 57.74°, γ = 126.13°
Fractional coordinates of all 4 atoms:
K1 0.000 0.000 0.000
Ag1 0.500 0.500 0.000
K2 0.500 0.000 0.500
Mn1 0.000 0.500 0.500

Values from the calculation:
raw total energy: -2.898 eV per atom
SG: Cmmm (65)
formation enthalpy at 0 K: 0.656 eV per atom
polymorph energy (0 for the lowest one): 234.1 meV per atom

---

Entry 3:
Computed, not measured: a relaxed structure of KMnAg2 at the PBE-GGA level of DFT.

a = 2.996 Å, b = 5.415 Å, c = 5.415 Å
α = 90.00°, β = 90.00°, γ = 90.00°
Fractional coordinates of all 4 atoms:
K1 0.500 0.500 0.000
Ag1 0.000 0.000 0.000
Ag2 0.000 0.500 0.500
Mn1 0.500 0.000 0.500

Values from the calculation:
raw total energy: -3.513 eV per atom
SG: P4/mmm (123)
formation enthalpy at 0 K: 0.479 eV per atom
polymorph energy (0 for the lowest one): 175.8 meV per atom

---

Entry 4:
Computed, not measured: a relaxed structure of K2MnAg at the PBE-GGA level of DFT.

a = 3.949 Å, b = 3.949 Å, c = 9.067 Å
α = 90.00°, β = 90.00°, γ = 90.01°
Fractional coordinates of all 4 atoms:
Ag1 0.500 0.500 0.750
Mn1 0.500 0.500 0.250
K1 0.000 0.000 0.978
K2 0.000 0.000 0.522

Values from the calculation:
raw total energy: -2.911 eV per atom
SG: P4/mmm (123)
formation enthalpy at 0 K: 0.643 eV per atom
polymorph energy (0 for the lowest one): 221.2 meV per atom